Entry from Alexandria: a relaxed structure of AcSmEr14 (PBE-GGA).

Summary:
E_form in meV per atom: 17

a = 11.246 Å, b = 7.242 Å, c = 12.517 Å
α = 90.00°, β = 90.00°, γ = 90.00°
Space group Amm2 (No. 38)
Inequivalent atoms, fractional coordinates:
Ac 0.000 0.000 0.000 (multiplicity 2)
Sm 0.000 0.000 0.500 (multiplicity 2)
Er 0.000 0.249 0.252 (multiplicity 4)
Er 0.251 0.000 0.668 (multiplicity 4)
Er 0.255 0.000 0.170 (multiplicity 4)
Er 0.257 0.248 0.417 (multiplicity 8)
Er 0.500 0.000 0.002 (multiplicity 2)
Er 0.500 0.000 0.501 (multiplicity 2)
Er 0.500 0.250 0.251 (multiplicity 4)